First-principles (PBE) data for crystalline ScFe3H at its relaxed geometry, as listed in Alexandria.

Values from the calculation:
E above lowest polymorph (eV/atom): 0.000
DOS(E_F) (states/eV per atom): 0.979
DFT total energy (eV/atom): -7.010

The structure in CIF format:
```
data_ScFe3H
_cell_length_a 3.817
_cell_length_b 3.817
_cell_length_c 3.817
_cell_angle_alpha 90.00
_cell_angle_beta 90.00
_cell_angle_gamma 90.00
_symmetry_space_group_name_H-M 'P m -3 m'
_symmetry_Int_Tables_number 221
_symmetry_space_group_name_Hall '-P 4 2 3'
loop_
_atom_site_label
_atom_site_type_symbol
_atom_site_fract_x
_atom_site_fract_y
_atom_site_fract_z
Sc1 Sc 0.000 0.000 0.000
Fe1 Fe 0.000 0.500 0.500
H1 H 0.500 0.500 0.500
```

First-principles (PBE) data for crystalline CuIr6Ru at its relaxed geometry, as listed in Alexandria.

Values from the calculation:
DOS(E_F) (states/eV per atom): 1.143
DFT total energy (eV/atom): -8.272
DFT formation energy (eV/atom): 0.046

The structure in CIF format:
```
data_CuIr6Ru
_cell_length_a 3.852
_cell_length_b 3.852
_cell_length_c 7.679
_cell_angle_alpha 90.00
_cell_angle_beta 90.00
_cell_angle_gamma 90.00
_symmetry_space_group_name_H-M 'P 4/m m m'
_symmetry_Int_Tables_number 123
_symmetry_space_group_name_Hall '-P 4 2'
loop_
_atom_site_label
_atom_site_type_symbol
_atom_site_fract_x
_atom_site_fract_y
_atom_site_fract_z
Cu1 Cu 0.000 0.000 0.000
Ir1 Ir 0.000 0.500 0.252
Ir2 Ir 0.500 0.500 0.000
Ir3 Ir 0.500 0.500 0.500
Ru1 Ru 0.000 0.000 0.500
```

Question: Which of these has the highest DOS(E_F)?
Answer: CuIr6Ru

Question: The highest DFT total energy belongs to which entry?
Answer: ScFe3H